# 1
This record from the Alexandria database describes CaAg10Sn2 after structural relaxation. The functional is GGA-PBE.

Results
Calculated formation energy = -0.021 eV/atom
Space-group type = Fmmm (69)
Electronic total energy = -2.984 eV/atom
Volume = 20.8 Å³/atom

a = 5.854 Å, b = 7.528 Å, c = 7.264 Å
α = 80.99°, β = 66.24°, γ = 67.12°
Sites, in units of the cell vectors:
Ca 0.000 0.000 0.000
Ag 0.349 0.661 0.641
Ag 0.651 0.339 0.359
Ag 0.010 0.339 0.641
Ag 0.990 0.661 0.359
Ag 0.000 0.000 0.500
Ag 0.500 0.000 0.500
Ag 0.286 0.210 0.217
Ag 0.714 0.790 0.783
Ag 0.496 0.790 0.217
Ag 0.504 0.210 0.783
Sn 0.000 0.500 0.000
Sn 0.500 0.500 0.000



# 2
This record from the Alexandria database describes TaAl3Ge after structural relaxation. The functional is GGA-PBE.

Results
Calculated formation energy = 1.145 eV/atom
Relative energy among the computed polymorphs = 171 meV/atom
Space-group type = Pm-3m (221)
Electronic total energy = -4.394 eV/atom
Volume = 20.6 Å³/atom

a = 4.691 Å, b = 4.691 Å, c = 4.691 Å
α = 90.00°, β = 90.00°, γ = 90.00°
Site moments in Bohr magnetons follow the coordinates.
Sites, in units of the cell vectors:
Ge 0.000 0.000 0.000  0.02
Al 0.000 0.500 0.000  -0.01
Al 0.000 0.000 0.500  -0.01
Al 0.500 0.000 0.000  -0.01
Ta 0.500 0.500 0.500  0.48



# 3
This record from the Alexandria database describes RbHf2Sb2 after structural relaxation. The functional is GGA-PBE.

Results
Relative energy among the computed polymorphs = 288 meV/atom
Space-group type = P4/mbm (127)
Formation energy from raw total energies = -21 meV per atom
Electronic total energy = -5.845 eV/atom
Volume = 26.9 Å³/atom

a = 9.110 Å, b = 9.110 Å, c = 3.237 Å
α = 90.00°, β = 90.00°, γ = 90.00°
Sites, in units of the cell vectors:
Sb 0.338 0.838 0.000
Sb 0.838 0.662 0.000
Sb 0.662 0.162 0.000
Sb 0.162 0.338 0.000
Hf 0.118 0.618 0.500
Hf 0.618 0.882 0.500
Hf 0.882 0.382 0.500
Hf 0.382 0.118 0.500
Rb 0.000 0.000 0.000
Rb 0.500 0.500 0.000



# 4
This record from the Alexandria database describes ScSiB after structural relaxation. The functional is GGA-PBE.

Results
Space-group type = Cmcm (63)
Formation energy from raw total energies = -240 meV per atom
Electronic total energy = -6.384 eV/atom
Volume = 14.9 Å³/atom

a = 3.296 Å, b = 3.911 Å, c = 7.141 Å
α = 90.00°, β = 103.34°, γ = 90.00°
Sites, in units of the cell vectors:
Sc 0.678 0.750 0.356
Sc 0.322 0.250 0.644
Si 0.550 0.250 0.100
Si 0.450 0.750 0.900
B 0.860 0.750 0.720
B 0.140 0.250 0.280



# 5
This record from the Alexandria database describes CaReIO2 after structural relaxation. The functional is GGA-PBE.

Results
Relative energy among the computed polymorphs = 0 meV/atom
Space-group type = P4/mmm (123)
Formation energy from raw total energies = -821 meV per atom
Electronic total energy = -6.004 eV/atom
Volume = 20.0 Å³/atom

a = 3.969 Å, b = 3.969 Å, c = 6.348 Å
α = 90.00°, β = 90.00°, γ = 90.00°
Sites, in units of the cell vectors:
I 0.000 0.000 0.500
Re 0.000 0.000 0.000
Ca 0.500 0.500 0.500
O 0.000 0.500 0.000
O 0.500 0.000 0.000



# 6
This record from the Alexandria database describes Al2CdRu2 after structural relaxation. The functional is GGA-PBE.

Results
Calculated formation energy = -0.017 eV/atom
Relative energy among the computed polymorphs = 303 meV/atom
Space-group type = I4/mmm (139)
Electronic total energy = -5.407 eV/atom
Volume = 16.8 Å³/atom

a = 3.785 Å, b = 3.785 Å, c = 6.458 Å
α = 72.96°, β = 72.96°, γ = 90.00°
Sites, in units of the cell vectors:
Ru 0.392 0.392 0.217
Ru 0.608 0.608 0.783
Al 0.750 0.250 0.500
Al 0.250 0.750 0.500
Cd 0.000 0.000 0.000